First-principles (PBE) data for a relaxed NbNiIr crystal, as listed in Alexandria via LeMat-Bulk.

Calculated formation energy (eV per atom): -0.382
Raw total energy (eV for the cell shown): -51.71
Space group: No. 15
V (A^3/atom): 14.6

Cell: 4.7765 4.7765 4.8316 Å, 100.84 100.84 120.51°
Closest atoms and distances in Å follow each position.
Sites, in units of the cell vectors:
Nb: 0.1098 0.8902 0.7500  5 Ir 2.63-2.82, 5 Ni 2.65-2.92
Nb: 0.8902 0.1098 0.2500  5 Ir 2.63-2.82, 5 Ni 2.65-2.92
Ni: 0.2419 0.7581 0.2500  5 Nb 2.65-2.92, 2 Ni 2.67, 5 Ir 2.75-2.86
Ni: 0.7581 0.2419 0.7500  5 Nb 2.65-2.92, 2 Ni 2.67, 5 Ir 2.75-2.86
Ir: 0.4265 0.5735 0.7500  5 Nb 2.63-2.82, 2 Ir 2.71, 5 Ni 2.75-2.86
Ir: 0.5735 0.4265 0.2500  5 Nb 2.63-2.82, 2 Ir 2.71, 5 Ni 2.75-2.86